MgAgSb | GGA-PBE | relaxed

extended XYZ file:
```
3
Lattice="2.193 -2.333 3.347 -1.249 -4.349 0.992 2.806 -3.521 -1.088" Properties=species:S:1:pos:R:3 pbc="T T T"
Sb 0.000 0.000 0.000
Ag 0.938 -2.551 0.813
Mg 1.875 -5.101 1.625
```

Space group = F-43m (216)
Crystal system = cubic

MgAgSb | GGA-PBE | relaxed

extended XYZ file:
```
6
Lattice="-1.197 -2.905 -3.119 2.693 -3.026 1.784 -5.120 -2.193 4.008" Properties=species:S:1:pos:R:3 pbc="T T T"
Ag 0.000 0.000 0.000
Mg -2.114 -2.101 -0.373
Sb -4.270 -3.025 1.315
Ag 0.748 -2.965 -0.667
Sb -0.102 -2.134 2.026
Mg -2.258 -3.057 3.714
```

Space group = P4/nmm (129)
Crystal system = tetragonal

MgAgSb | GGA-PBE | relaxed

extended XYZ file:
```
6
Lattice="4.489 0.000 0.000 0.000 4.489 0.000 0.000 0.000 7.148" Properties=species:S:1:pos:R:3 pbc="T T T"
Ag 2.245 0.000 5.065
Mg 0.000 2.245 4.733
Sb 2.245 2.245 0.000
Sb 0.000 0.000 0.000
Mg 2.245 0.000 2.415
Ag 0.000 2.245 2.083
```

Space group = P4/nmm (129)
Crystal system = tetragonal

no.,calculated total energy (eV/atom),distance to the lowest polymorph of the same formula (meV per atom)
1,-3.0655,0.0
2,-3.0425,23.0
3,-2.7773,288.2